#one
AlPtCl2 | PBE | optimized geometry

It has space group Cmmm (No. 65), with a = 6.8761 Å, b = 6.9193 Å, c = 3.1571 Å, α = 90.00°, β = 90.00° and γ = 90.00°. The inequivalent atoms are Al at (0.0000, 0.0000, 0.0000), Pt at (0.0000, 0.5000, 0.0000) and Cl at (0.2500, 0.2500, 0.5000).



#two
AlPtCl2 | PBE | optimized geometry

It has space group I-4m2 (No. 119), with a = 5.6783 Å, b = 5.6783 Å, c = 4.8910 Å, α = 90.00°, β = 90.00° and γ = 90.00°. The inequivalent atoms are Al at (0.0000, 0.0000, 0.0000), Pt at (0.0000, 0.5000, 0.2500), Cl at (0.0000, 0.0000, 0.5000) and Cl at (0.0000, 0.5000, 0.7500).



Which one is the most stable? From the structures above, #two.